The following is a DFT calculation (PBE-GGA) of crystalline SbPbW2 at its relaxed geometry.

Computed properties:
Size of the total moment = 0.00 μB/f.u.
Fermi-level density of states = 9.52 states/eV/f.u.
Energy above the most stable polymorph in this dataset = 0.630 eV/atom
Raw total energy = -29.7 eV for the cell shown
Volume = 76.7 Å³/cell
Theoretical density = 15.1 g/cm3

a = 4.768 Å, b = 4.768 Å, c = 4.768 Å
α = 60.00°, β = 60.00°, γ = 60.00°
Sites, in units of the cell vectors:
Sb 0.000 0.000 0.000
Pb 0.500 0.500 0.500
W 0.250 0.250 0.250
W 0.750 0.750 0.750

The following is a DFT calculation (PBE-GGA) of crystalline Ti2AlNi4 at its relaxed geometry.

Computed properties:
Size of the total moment = 0.00 μB/f.u.
Fermi-level density of states = 6.95 states/eV/f.u.
Energy above the most stable polymorph in this dataset = 0.000 eV/atom
Raw total energy = -44.5 eV for the cell shown
Calculated formation energy = -0.26 eV per atom
Volume = 96.5 Å³/cell
Theoretical density = 6.2 g/cm3

a = 7.076 Å, b = 7.076 Å, c = 7.076 Å
α = 33.56°, β = 33.56°, γ = 33.56°
Sites, in units of the cell vectors:
Ti 0.247 0.247 0.247
Ti 0.753 0.753 0.753
Al 0.000 0.000 0.000
Ni 0.126 0.126 0.126
Ni 0.375 0.375 0.375
Ni 0.625 0.625 0.625
Ni 0.874 0.874 0.874

The following is a DFT calculation (PBE-GGA) of crystalline BaTiNbB2 at its relaxed geometry.

Computed properties:
Size of the total moment = 0.00 μB/f.u.
Fermi-level density of states = 4.80 states/eV/f.u.
Raw total energy = -28.7 eV for the cell shown
Calculated formation energy = 0.91 eV per atom
Volume = 102.8 Å³/cell
Theoretical density = 4.8 g/cm3

a = 4.652 Å, b = 4.652 Å, c = 4.753 Å
α = 90.00°, β = 90.00°, γ = 90.00°
Sites, in units of the cell vectors:
Ba 0.000 0.000 0.000
Ti 0.500 0.500 0.000
Nb 0.500 0.500 0.500
B 0.000 0.500 0.500
B 0.500 0.000 0.500

The following is a DFT calculation (PBE-GGA) of crystalline Cr2CoTc at its relaxed geometry.

Computed properties:
Size of the total moment = 0.01 μB/f.u.
Fermi-level density of states = 6.25 states/eV/f.u.
Raw total energy = -36.2 eV for the cell shown
Calculated formation energy = 0.13 eV per atom
Volume = 48.5 Å³/cell
Theoretical density = 8.9 g/cm3

a = 4.472 Å, b = 4.472 Å, c = 4.472 Å
α = 131.92°, β = 131.92°, γ = 70.36°
Sites, in units of the cell vectors:
Cr 0.250 0.750 0.500
Cr 0.750 0.250 0.500
Co 0.000 0.000 0.000
Tc 0.500 0.500 0.000

The following is a DFT calculation (PBE-GGA) of crystalline YPaOsSe at its relaxed geometry.

Computed properties:
Size of the total moment = 0.00 μB/f.u.
Fermi-level density of states = 1.68 states/eV/f.u.
Raw total energy = -34.1 eV for the cell shown
Volume = 98.5 Å³/cell
Theoretical density = 9.9 g/cm3

a = 7.601 Å, b = 7.601 Å, c = 7.601 Å
α = 30.21°, β = 30.21°, γ = 30.21°
Sites, in units of the cell vectors:
Y 0.000 0.000 0.000
Pa 0.812 0.812 0.812
Os 0.415 0.415 0.415
Se 0.240 0.240 0.240

The following is a DFT calculation (PBE-GGA) of crystalline CaI2F at its relaxed geometry.

Computed properties:
Size of the total moment = 0.00 μB/f.u.
Fermi-level density of states = 2.15 states/eV/f.u.
Energy above the most stable polymorph in this dataset = 0.032 eV/atom
Raw total energy = -23.5 eV for the cell shown
Volume = 245.0 Å³/cell
Theoretical density = 4.2 g/cm3

a = 11.414 Å, b = 11.414 Å, c = 11.414 Å
α = 156.04°, β = 156.04°, γ = 34.14°
Sites, in units of the cell vectors:
Ca 0.000 0.000 0.000
Ca 0.750 0.250 0.500
I 0.126 0.625 0.001
I 0.375 0.376 0.501
I 0.624 0.125 0.999
I 0.875 0.874 0.499
F 0.250 0.750 0.500
F 0.500 0.500 0.000

The following is a DFT calculation (PBE-GGA) of crystalline Hf3AsC at its relaxed geometry.

Computed properties:
Size of the total moment = 0.00 μB/f.u.
Fermi-level density of states = 1.66 states/eV/f.u.
Raw total energy = -93.0 eV for the cell shown
Calculated formation energy = -0.56 eV per atom
Volume = 181.5 Å³/cell
Theoretical density = 11.4 g/cm3

a = 8.324 Å, b = 8.324 Å, c = 6.355 Å
α = 90.00°, β = 90.00°, γ = 155.66°
Sites, in units of the cell vectors:
Hf 0.080 0.920 0.500
Hf 0.253 0.747 0.097
Hf 0.412 0.588 0.390
Hf 0.588 0.412 0.890
Hf 0.747 0.253 0.597
Hf 0.920 0.080 0.000
As 0.352 0.648 0.761
As 0.648 0.352 0.261
C 0.167 0.833 0.773
C 0.833 0.167 0.273

The following is a DFT calculation (PBE-GGA) of crystalline YCo2Re at its relaxed geometry.

Computed properties:
Size of the total moment = 1.12 μB/f.u.
Fermi-level density of states = 5.55 states/eV/f.u.
Energy above the most stable polymorph in this dataset = 0.501 eV/atom
Raw total energy = -31.2 eV for the cell shown
Calculated formation energy = 0.47 eV per atom
Volume = 61.6 Å³/cell
Theoretical density = 10.6 g/cm3

a = 5.093 Å, b = 5.093 Å, c = 5.093 Å
α = 136.61°, β = 136.61°, γ = 63.04°
Sites, in units of the cell vectors:
Y 0.000 0.000 0.000
Co 0.250 0.750 0.500
Co 0.500 0.500 0.000
Re 0.750 0.250 0.500